Record 1
The following is a PBE calculation of a relaxed structure of Gd2Tm, from OQMD.

energy relative to the elements: 17 meV per atom
SG: Cmcm
magnetic moment: 0.01 μB per atom
excess energy over the best structure of this formula in the dataset: 0 meV/atom

a = 7.9172 Å, b = 7.9172 Å, c = 5.0095 Å
α = 90.00°, β = 90.00°, γ = 143.19°
Closest atoms and distances in Å follow each position.
Fractional positions:
Tm: 0.0828 0.9172 0.7500  10 Gd 3.52-3.55, 2 Tm 3.53
Tm: 0.9172 0.0828 0.2500  10 Gd 3.52-3.55, 2 Tm 3.53
Gd: 0.4176 0.5824 0.7500  6 Gd 3.52-3.56, 6 Tm 3.52-3.54
Gd: 0.2507 0.7493 0.2500  4 Tm 3.54-3.55, 8 Gd 3.54-3.56
Gd: 0.5824 0.4176 0.2500  6 Gd 3.52-3.56, 6 Tm 3.52-3.54
Gd: 0.7493 0.2507 0.7500  4 Tm 3.54-3.55, 8 Gd 3.54-3.56

=====

Record 2
The following is a PBE calculation of a relaxed structure of Cd2InSn2, from OQMD.

raw total energy: -12.1 eV per cell
SG: I4/mmm

a = 4.7485 Å, b = 4.7485 Å, c = 7.1775 Å
α = 109.32°, β = 109.32°, γ = 90.00°
Closest atoms and distances in Å follow each position.
Fractional positions:
In: 0.0000 0.0000 0.0000  8 Sn 3.64, 8 Cd 3.96
Sn: 0.3884 0.3884 0.7767  1 Sn 2.83, 4 Cd 2.95
Sn: 0.6116 0.6116 0.2233  1 Sn 2.83, 4 Cd 2.95
Cd: 0.2500 0.7500 0.5000  4 Sn 2.95
Cd: 0.7500 0.2500 0.5000  4 Sn 2.95

=====

Record 3
The following is a PBE calculation of a relaxed structure of CoAgGeTe3, from OQMD.

raw total energy: -48.2 eV per cell
SG: Cmcm
magnetic moment: 0.00 μB per atom

a = 7.9495 Å, b = 7.9495 Å, c = 10.3175 Å
α = 90.00°, β = 90.00°, γ = 152.34°
Closest atoms and distances in Å follow each position.
Fractional positions:
Te: 0.1107 0.8893 0.0203  2 Co 2.56, 1 Ag 2.76
Te: 0.8893 0.1107 0.9797  2 Co 2.56, 1 Ag 2.76
Te: 0.5355 0.4645 0.7500  2 Co 2.64, 2 Ge 2.80
Te: 0.4645 0.5355 0.2500  2 Co 2.64, 2 Ge 2.80
Te: 0.8893 0.1107 0.5203  2 Co 2.56, 1 Ag 2.76
Te: 0.1107 0.8893 0.4797  2 Co 2.56, 1 Ag 2.76
Ag: 0.2022 0.7978 0.2500  2 Ge 2.76, 2 Te 2.76
Ag: 0.7978 0.2022 0.7500  2 Ge 2.76, 2 Te 2.76
Ge: 0.1685 0.8315 0.7500  2 Ag 2.76, 4 Te 2.80-2.93
Ge: 0.8315 0.1685 0.2500  2 Ag 2.76, 4 Te 2.80-2.93
Co: 0.5000 0.5000 0.5000  6 Te 2.56-2.64
Co: 0.5000 0.5000 0.0000  6 Te 2.56-2.64

=====

Record 4
The following is a PBE calculation of a relaxed structure of DyHo2Ni2, from OQMD.

energy relative to the elements: -383 meV per atom
SG: C2/m
magnetic moment: 0.04 μB per atom
excess energy over the best structure of this formula in the dataset: 1 meV/atom

a = 6.8655 Å, b = 6.8655 Å, c = 9.4590 Å
α = 104.85°, β = 104.85°, γ = 30.71°
Closest atoms and distances in Å follow each position.
Fractional positions:
Ho: 0.1316 0.1316 0.9975  7 Ni 2.80-3.02
Ho: 0.1443 0.1443 0.3682  4 Ni 2.79-2.87
Ho: 0.8684 0.8684 0.0025  7 Ni 2.80-3.02
Ho: 0.8557 0.8557 0.6318  4 Ni 2.79-2.87
Ni: 0.7440 0.7440 0.2273  1 Ni 2.67, 2 Dy 2.76, 4 Ho 2.79-2.92
Ni: 0.5350 0.5350 0.1444  2 Ni 2.64-2.67, 1 Dy 2.76, 6 Ho 2.80-2.90
Ni: 0.2560 0.2560 0.7727  1 Ni 2.67, 2 Dy 2.76, 4 Ho 2.79-2.92
Ni: 0.4650 0.4650 0.8556  2 Ni 2.64-2.67, 1 Dy 2.76, 6 Ho 2.80-2.90
Dy: 0.4033 0.4033 0.3274  3 Ni 2.76
Dy: 0.5967 0.5967 0.6726  3 Ni 2.76

=====

Record 5
The following is a PBE calculation of a relaxed structure of LiCoReB, from OQMD.

SG: F-43m
magnetic moment: 0.32 μB per atom
excess energy over the best structure of this formula in the dataset: 0 meV/atom

a = 3.8248 Å, b = 3.8248 Å, c = 3.8248 Å
α = 60.00°, β = 60.00°, γ = 60.00°
Closest atoms and distances in Å follow each position.
Fractional positions:
Co: 0.7500 0.7500 0.7500  4 Li 2.34, 4 B 2.34
Re: 0.2500 0.2500 0.2500  4 Li 2.34, 4 B 2.34
B: 0.0000 0.0000 0.0000  4 Co 2.34, 4 Re 2.34
Li: 0.5000 0.5000 0.5000  4 Co 2.34, 4 Re 2.34

=====

Record 6
The following is a PBE calculation of a relaxed structure of Ac3Pm, from OQMD.

energy relative to the elements: 32 meV per atom
SG: I4/mmm
magnetic moment: 0.00 μB per atom

a = 6.7480 Å, b = 6.7480 Å, c = 6.7480 Å
α = 131.72°, β = 131.72°, γ = 70.67°
Closest atoms and distances in Å follow each position.
Fractional positions:
Pm: 0.0000 0.0000 0.0000  12 Ac 3.90
Ac: 0.7500 0.2500 0.5000  4 Pm 3.90, 8 Ac 3.90
Ac: 0.5000 0.5000 0.0000  8 Ac 3.90, 4 Pm 3.90
Ac: 0.2500 0.7500 0.5000  8 Ac 3.90, 4 Pm 3.90

=====

Record 7
The following is a PBE calculation of a relaxed structure of BeTl2Ag, from OQMD.

raw total energy: -8.8 eV per cell
SG: F-43m

a = 4.9912 Å, b = 4.9912 Å, c = 4.9912 Å
α = 60.00°, β = 60.00°, γ = 60.00°
Closest atoms and distances in Å follow each position.
Fractional positions:
Be: 0.7500 0.7500 0.7500  4 Ag 3.06, 4 Tl 3.06
Ag: 0.5000 0.5000 0.5000  4 Tl 3.06, 4 Be 3.06
Tl: 0.2500 0.2500 0.2500  4 Ag 3.06, 4 Tl 3.06
Tl: 0.0000 0.0000 0.0000  4 Be 3.06, 4 Tl 3.06

=====

Record 8
The following is a PBE calculation of a relaxed structure of Ho3InNiIr2Pb2, from OQMD.

raw total energy: -52.5 eV per cell
SG: Amm2
magnetic moment: 0.00 μB per atom

a = 3.7336 Å, b = 7.6988 Å, c = 7.6988 Å
α = 120.07°, β = 90.00°, γ = 90.00°
Closest atoms and distances in Å follow each position.
Fractional positions:
Ni: 0.5000 0.0042 0.0042  2 In 2.70, 4 Pb 2.73
Ir: 0.0000 0.6611 0.3316  1 In 2.86, 2 Pb 2.92-2.94, 6 Ho 2.95-3.04
Ir: 0.0000 0.3316 0.6611  1 In 2.86, 2 Pb 2.92-2.94, 6 Ho 2.95-3.04
Ho: 0.5000 0.5875 0.5875  4 Ir 2.97, 2 In 3.15, 1 Ni 3.20
Ho: 0.5000 0.4079 0.0044  4 Ir 2.95-3.04, 1 Ni 3.11, 2 Pb 3.20, 2 In 3.30
Ho: 0.5000 0.0044 0.4079  4 Ir 2.95-3.04, 1 Ni 3.11, 2 Pb 3.20, 2 In 3.30
In: 0.0000 0.2576 0.2576  2 Ni 2.70, 2 Ir 2.86
Pb: 0.0000 0.0012 0.7446  2 Ni 2.73, 2 Ir 2.92-2.94
Pb: 0.0000 0.7446 0.0012  2 Ni 2.73, 2 Ir 2.92-2.94

=====

Record 9
The following is a PBE calculation of a relaxed structure of Mg2Zn, from OQMD.

raw total energy: -17.6 eV per cell
SG: Pmmn

a = 5.1765 Å, b = 9.2182 Å, c = 4.8892 Å
α = 90.00°, β = 90.00°, γ = 90.00°
Closest atoms and distances in Å follow each position.
Fractional positions:
Mg: 0.4753 0.8333 0.0000  4 Zn 2.91-3.12, 8 Mg 3.01-3.05
Mg: 0.5240 0.5081 0.0000  4 Zn 2.86-3.09, 7 Mg 2.99-3.11
Mg: 0.3092 0.6585 0.5000  4 Zn 2.86-3.09, 7 Mg 2.99-3.11
Mg: 0.0111 0.3333 0.0000  6 Mg 2.99-3.11, 6 Zn 3.03-3.07
Mg: 0.3092 0.0081 0.5000  4 Zn 2.86-3.09, 7 Mg 2.99-3.11
Mg: 0.3579 0.3333 0.5000  4 Zn 2.91-3.11, 8 Mg 3.01-3.05
Mg: 0.5240 0.1585 0.0000  4 Zn 2.86-3.09, 7 Mg 2.99-3.11
Mg: 0.8220 0.8333 0.5000  6 Mg 2.99-3.11, 6 Zn 3.03-3.07
Zn: 0.9987 0.0002 0.0000  9 Mg 2.86-3.12, 3 Zn 3.01-3.07
Zn: 0.8348 0.5002 0.5000  9 Mg 2.86-3.11, 3 Zn 3.01-3.08
Zn: 0.9987 0.6666 0.0000  9 Mg 2.86-3.12, 3 Zn 3.01-3.07
Zn: 0.8348 0.1666 0.5000  9 Mg 2.86-3.11, 3 Zn 3.01-3.08

=====

Record 10
The following is a PBE calculation of a relaxed structure of Hf4Ta2Al3N3, from OQMD.

raw total energy: -222.5 eV per cell
SG: C2/c
magnetic moment: 0.00 μB per atom

a = 5.4341 Å, b = 5.4341 Å, c = 14.4708 Å
α = 100.81°, β = 100.81°, γ = 60.03°
Closest atoms and distances in Å follow each position.
Fractional positions:
Ta: 0.5289 0.3627 0.5864  3 N 2.19-2.20
Ta: 0.4711 0.6373 0.4136  3 N 2.19-2.20
Ta: 0.3627 0.5289 0.0864  3 N 2.19-2.20
Ta: 0.6373 0.4711 0.9136  3 N 2.19-2.20
N: 0.6691 0.1614 0.0000  2 Ta 2.20, 4 Hf 2.22-2.24
N: 0.5000 0.0000 0.5000  2 Ta 2.19, 4 Hf 2.24
N: 0.0000 0.5000 0.0000  2 Ta 2.19, 4 Hf 2.24
N: 0.1614 0.6691 0.5000  2 Ta 2.20, 4 Hf 2.22-2.24
N: 0.3309 0.8386 0.0000  2 Ta 2.20, 4 Hf 2.22-2.24
N: 0.8386 0.3309 0.5000  2 Ta 2.20, 4 Hf 2.22-2.24
Hf: 0.6975 0.8642 0.0928  3 N 2.22-2.24
Hf: 0.9695 0.8022 0.9072  3 N 2.22-2.24
Hf: 0.0305 0.1978 0.0928  3 N 2.22-2.24
Hf: 0.8642 0.6975 0.5928  3 N 2.22-2.24
Hf: 0.1978 0.0305 0.5928  3 N 2.22-2.24
Hf: 0.3025 0.1358 0.9072  3 N 2.22-2.24
Hf: 0.1358 0.3025 0.4072  3 N 2.22-2.24
Hf: 0.8022 0.9695 0.4072  3 N 2.22-2.24
Al: 0.5838 0.7223 0.7501  2 Ta 2.85, 2 Al 2.88, 4 Hf 2.92
Al: 0.8901 0.1099 0.7500  2 Ta 2.85, 2 Al 2.88, 4 Hf 2.91-2.92
Al: 0.4162 0.2777 0.2499  2 Ta 2.85, 2 Al 2.88, 4 Hf 2.92
Al: 0.7223 0.5838 0.2501  2 Ta 2.85, 2 Al 2.88, 4 Hf 2.92
Al: 0.1099 0.8901 0.2500  2 Ta 2.85, 2 Al 2.88, 4 Hf 2.91-2.92
Al: 0.2777 0.4162 0.7499  2 Ta 2.85, 2 Al 2.88, 4 Hf 2.92

=====

Record 11
The following is a PBE calculation of a relaxed structure of TmSn, from OQMD.

raw total energy: -9.3 eV per cell
SG: Fm-3m
magnetic moment: 0.00 μB per atom

a = 4.3397 Å, b = 4.3397 Å, c = 4.3397 Å
α = 60.00°, β = 60.00°, γ = 60.00°
Closest atoms and distances in Å follow each position.
Fractional positions:
Sn: 0.0000 0.0000 0.0000  6 Tm 3.07
Tm: 0.5000 0.5000 0.5000  6 Sn 3.07

=====

Record 12
The following is a PBE calculation of a relaxed structure of DyTm2Lu, from OQMD.

energy relative to the elements: 1 meV per atom
SG: Cmcm
magnetic moment: 0.00 μB per atom

a = 7.0934 Å, b = 7.0934 Å, c = 5.5252 Å
α = 90.00°, β = 90.00°, γ = 120.00°
Closest atoms and distances in Å follow each position.
Fractional positions:
Tm: 0.6661 0.8324 0.2500  4 Lu 3.44-3.56, 4 Tm 3.44-3.56, 4 Dy 3.44-3.55
Tm: 0.3339 0.1676 0.7500  4 Lu 3.44-3.56, 4 Tm 3.44-3.56, 4 Dy 3.44-3.55
Tm: 0.1676 0.3339 0.2500  4 Lu 3.44-3.56, 4 Tm 3.44-3.56, 4 Dy 3.44-3.55
Tm: 0.8324 0.6661 0.7500  4 Lu 3.44-3.56, 4 Tm 3.44-3.56, 4 Dy 3.44-3.55
Dy: 0.8333 0.1667 0.7500  4 Lu 3.44-3.55, 8 Tm 3.44-3.55
Dy: 0.1667 0.8333 0.2500  4 Lu 3.44-3.55, 8 Tm 3.44-3.55
Lu: 0.3338 0.6662 0.7500  8 Tm 3.44-3.56, 4 Dy 3.44-3.55
Lu: 0.6662 0.3338 0.2500  8 Tm 3.44-3.56, 4 Dy 3.44-3.55

=====

Record 13
The following is a PBE calculation of a relaxed structure of BeZn, from OQMD.

raw total energy: -4.6 eV per cell
SG: P-6m2

a = 2.5950 Å, b = 2.5949 Å, c = 3.9075 Å
α = 90.00°, β = 90.00°, γ = 120.00°
Closest atoms and distances in Å follow each position.
Fractional positions:
Be: 0.6667 0.3333 0.7500  6 Zn 2.46, 6 Be 2.59
Zn: 0.3333 0.6667 0.2500  6 Be 2.46, 6 Zn 2.59

=====

Record 14
The following is a PBE calculation of a relaxed structure of LuRe2Ag, from OQMD.

energy relative to the elements: 303 meV per atom
SG: F-43m
magnetic moment: 0.00 μB per atom

a = 4.6030 Å, b = 4.6030 Å, c = 4.6030 Å
α = 60.00°, β = 60.00°, γ = 60.00°
Closest atoms and distances in Å follow each position.
Fractional positions:
Lu: 0.2500 0.2500 0.2500  4 Ag 2.82, 4 Re 2.82
Re: 0.7500 0.7500 0.7500  4 Ag 2.82, 4 Re 2.82
Re: 0.0000 0.0000 0.0000  4 Re 2.82, 4 Lu 2.82
Ag: 0.5000 0.5000 0.5000  4 Re 2.82, 4 Lu 2.82

=====

Record 15
The following is a PBE calculation of a relaxed structure of Ag2HgGe, from OQMD.

raw total energy: -9.7 eV per cell
SG: F-43m

a = 4.8265 Å, b = 4.8265 Å, c = 4.8265 Å
α = 60.00°, β = 60.00°, γ = 60.00°
Closest atoms and distances in Å follow each position.
Fractional positions:
Ag: 0.0000 0.0000 0.0000  4 Ag 2.96, 4 Hg 2.96
Ag: 0.7500 0.7500 0.7500  4 Ag 2.96, 4 Ge 2.96
Ge: 0.5000 0.5000 0.5000  4 Ag 2.96, 4 Hg 2.96
Hg: 0.2500 0.2500 0.2500  4 Ge 2.96, 4 Ag 2.96

=====

Record 16
The following is a PBE calculation of a relaxed structure of CdTePbO, from OQMD.

SG: Pbam
excess energy over the best structure of this formula in the dataset: 106 meV/atom

a = 10.3599 Å, b = 19.8336 Å, c = 4.0296 Å
α = 90.00°, β = 90.00°, γ = 90.00°
Closest atoms and distances in Å follow each position.
Fractional positions:
Pb: 0.7467 0.1181 0.5000  2 O 2.47-2.48
Pb: 0.5101 0.7600 0.5000  2 O 2.46-2.56
Pb: 0.7533 0.6181 0.5000  2 O 2.47-2.48
Pb: 0.9899 0.2600 0.5000  2 O 2.46-2.56
Pb: 0.0101 0.7400 0.5000  2 O 2.46-2.56
Pb: 0.2533 0.8819 0.5000  2 O 2.47-2.48
Pb: 0.2467 0.3819 0.5000  2 O 2.47-2.48
Pb: 0.4899 0.2400 0.5000  2 O 2.46-2.56
Cd: 0.5598 0.3903 0.0000  2 O 2.23
Cd: 0.4330 0.0886 0.0000  2 O 2.21
Cd: 0.9330 0.4114 0.0000  2 O 2.21
Cd: 0.9402 0.8903 0.0000  2 O 2.23
Cd: 0.4402 0.6097 0.0000  2 O 2.23
Cd: 0.5670 0.9114 0.0000  2 O 2.21
Cd: 0.0670 0.5886 0.0000  2 O 2.21
Cd: 0.0598 0.1097 0.0000  2 O 2.23
Te: 0.7367 0.7734 0.0000  2 Pb 3.11, 2 Cd 3.13-3.25
Te: 0.2746 0.4963 0.0000  2 Cd 2.82-2.83, 2 Pb 3.05
Te: 0.2254 0.9963 0.0000  2 Cd 2.82-2.83, 2 Pb 3.05
Te: 0.7254 0.5037 0.0000  2 Cd 2.82-2.83, 2 Pb 3.05
Te: 0.2367 0.7266 0.0000  2 Pb 3.11, 2 Cd 3.13-3.25
Te: 0.7633 0.2734 0.0000  2 Pb 3.11, 2 Cd 3.13-3.25
Te: 0.7746 0.0037 0.0000  2 Cd 2.82-2.83, 2 Pb 3.05
Te: 0.2633 0.2266 0.0000  2 Pb 3.11, 2 Cd 3.13-3.25
O: 0.4909 0.8889 0.5000  2 Cd 2.21, 1 Pb 2.47
O: 0.9909 0.6111 0.5000  2 Cd 2.21, 1 Pb 2.47
O: 0.0091 0.3889 0.5000  2 Cd 2.21, 1 Pb 2.47
O: 0.5091 0.1111 0.5000  2 Cd 2.21, 1 Pb 2.47
O: 0.4837 0.3640 0.5000  2 Cd 2.23, 2 Pb 2.46-2.48
O: 0.0163 0.8640 0.5000  2 Cd 2.23, 2 Pb 2.46-2.48
O: 0.9837 0.1360 0.5000  2 Cd 2.23, 2 Pb 2.46-2.48
O: 0.5163 0.6360 0.5000  2 Cd 2.23, 2 Pb 2.46-2.48

=====

Record 17
The following is a PBE calculation of a relaxed structure of PrAl2Au2, from OQMD.

raw total energy: -22.5 eV per cell
SG: I4/mmm
magnetic moment: 0.00 μB per atom

a = 6.4049 Å, b = 6.4049 Å, c = 6.4049 Å
α = 140.64°, β = 140.64°, γ = 56.89°
Closest atoms and distances in Å follow each position.
Fractional positions:
Au: 0.6228 0.6228 0.0000  4 Al 2.59, 1 Au 2.77
Au: 0.3772 0.3772 0.0000  4 Al 2.59, 1 Au 2.77
Al: 0.2500 0.7500 0.5000  4 Au 2.59
Al: 0.7500 0.2500 0.5000  4 Au 2.59
Pr: 0.0000 0.0000 0.0000  8 Au 3.35, 8 Al 3.55

=====

Record 18
The following is a PBE calculation of a relaxed structure of ReS, from OQMD.

SG: P-6m2
magnetic moment: 0.00 μB per atom
excess energy over the best structure of this formula in the dataset: 95 meV/atom

a = 2.9803 Å, b = 2.9803 Å, c = 3.6232 Å
α = 90.00°, β = 90.00°, γ = 120.00°
Closest atoms and distances in Å follow each position.
Fractional positions:
Re: 0.6667 0.3333 0.7500  6 S 2.50
S: 0.3333 0.6667 0.2500  6 Re 2.50

=====

Record 19
The following is a PBE calculation of a relaxed structure of DyMo6W2, from OQMD.

energy relative to the elements: 646 meV per atom
SG: P-62m
magnetic moment: 0.00 μB per atom

a = 7.7622 Å, b = 7.7622 Å, c = 3.0600 Å
α = 90.00°, β = 90.00°, γ = 120.00°
Closest atoms and distances in Å follow each position.
Fractional positions:
W: 0.6667 0.3333 0.5000  9 Mo 2.63-2.81
W: 0.3333 0.6667 0.5000  9 Mo 2.63-2.81
Mo: 0.4047 0.4047 0.0000  2 Mo 2.61, 4 W 2.81
Mo: 0.0000 0.5953 0.0000  2 Mo 2.61, 4 W 2.81
Mo: 0.5953 0.0000 0.0000  2 Mo 2.61, 4 W 2.81
Mo: 0.6766 0.6766 0.5000  2 Mo 2.61, 2 W 2.63
Mo: 0.3234 0.0000 0.5000  2 Mo 2.61, 2 W 2.63
Mo: 0.0000 0.3234 0.5000  2 Mo 2.61, 2 W 2.63
Dy: 0.0000 0.0000 0.0000  9 Mo 2.94-3.14, 2 Dy 3.06